## CsNpMo2S8 (PBE)

Data for CsNpMo2S8 after structural relaxation.

Values from the calculation:
Its total magnetization is 4.00 μB per formula unit. The calculation puts the volume at 357 Å³ per cell. Its total DFT energy (no corrections) is -6.42 eV/atom. Its density of states at the Fermi level is 8.599 states/eV per cell.

a = 10.398 Å, b = 10.398 Å, c = 10.398 Å
α = 36.53°, β = 36.53°, γ = 36.53°
Fractional positions:
1 Cs 0.000 0.000 0.000
2 Np 0.500 0.500 0.500
3 Mo 0.246 0.246 0.246
4 Mo 0.754 0.754 0.754
5 S 0.104 0.775 0.451
6 S 0.225 0.549 0.896
7 S 0.320 0.320 0.320
8 S 0.451 0.104 0.775
9 S 0.549 0.896 0.225
10 S 0.680 0.680 0.680
11 S 0.775 0.451 0.104
12 S 0.896 0.225 0.549